i) Density functional theory data (PBE-GGA) for an optimized crystal structure of Si2AsHPd.

```
Si2AsHPd
1.0
4.626 0.000 0.000
0.000 4.626 0.000
0.000 0.000 5.027
Si As H Pd
2 1 1 1
direct
0.000 0.500 0.000
0.500 0.000 0.000
0.000 0.000 0.500
0.500 0.500 0.500
0.000 0.000 0.000
```

Properties
SG: No. 123
Crystal system: tetragonal

=====

ii) Density functional theory data (PBE-GGA) for an optimized crystal structure of Si2AsHPd.

```
Si2AsHPd
1.0
4.874 0.000 0.000
0.000 4.874 0.000
0.000 0.000 3.108
Si As H Pd
2 1 1 1
direct
0.000 0.500 0.000
0.500 0.000 0.000
0.000 0.000 0.000
0.000 0.000 0.500
0.500 0.500 0.500
```

Properties
SG: No. 123
Crystal system: tetragonal

=====

ii) is preferred energetically. Next in line: 0.599 eV/atom higher.

=====

i) Density functional theory data (PBE-GGA) for an optimized crystal structure of Sr2AsHPd.

```
Sr2AsHPd
1.0
6.543 0.000 0.000
0.000 4.433 0.000
-2.655 0.000 8.072
Sr As H Pd
4 2 2 2
direct
0.222 0.250 0.416
0.251 0.250 0.955
0.749 0.750 0.045
0.778 0.750 0.584
0.332 0.750 0.704
0.668 0.250 0.296
0.144 0.750 0.151
0.856 0.250 0.849
0.416 0.750 0.233
0.584 0.250 0.767
```

Properties
SG: No. 11
Crystal system: monoclinic

=====

ii) Density functional theory data (PBE-GGA) for an optimized crystal structure of Sr2AsHPd.

```
Sr2AsHPd
1.0
5.397 0.000 0.000
0.000 5.397 0.000
0.000 0.000 3.745
Sr As H Pd
2 1 1 1
direct
0.000 0.500 0.000
0.500 0.000 0.000
0.000 0.000 0.500
0.500 0.500 0.000
0.500 0.500 0.500
```

Properties
SG: No. 123
Crystal system: tetragonal

=====

i) is preferred energetically. Next in line: 0.097 eV/atom higher.

=====

i) Density functional theory data (PBE-GGA) for an optimized crystal structure of PmAsH.

```
PmAsH
1.0
3.830 0.000 0.000
-1.915 3.317 0.000
0.000 0.000 4.352
Pm As H
1 1 1
direct
0.000 0.000 0.000
0.333 0.667 0.500
0.667 0.333 0.000
```

Properties
SG: No. 187
Crystal system: hexagonal

=====

ii) Density functional theory data (PBE-GGA) for an optimized crystal structure of PmAsH.

```
PmAsH
1.0
0.000 3.268 3.268
3.268 0.000 3.268
3.268 3.268 0.000
Pm As H
1 1 1
direct
0.000 0.000 0.000
0.250 0.250 0.250
0.750 0.750 0.750
```

Properties
SG: No. 216
Crystal system: cubic

=====

iii) Density functional theory data (PBE-GGA) for an optimized crystal structure of PmAsH.

```
PmAsH
1.0
3.414 -1.971 0.000
3.414 1.971 0.000
-2.288 0.000 9.737
Pm As H
2 2 2
direct
0.103 0.103 0.310
0.897 0.897 0.690
0.001 0.999 0.000
0.500 0.500 0.500
0.243 0.244 0.729
0.756 0.757 0.271
```

Properties
SG: No. 5
Crystal system: monoclinic

=====

i) is preferred energetically. Next in line: 0.206 eV/atom higher.

=====

i) Density functional theory data (PBE-GGA) for an optimized crystal structure of PmAsH.

```
PmAsH
1.0
-2.047 2.047 3.611
2.047 -2.047 3.611
2.047 2.047 -3.611
Pm As H
1 1 1
direct
0.000 0.000 0.000
0.593 0.593 0.000
0.338 0.338 0.000
```

Properties
SG: No. 107
Crystal system: tetragonal

=====

ii) Density functional theory data (PBE-GGA) for an optimized crystal structure of PmAsH.

```
PmAsH
1.0
4.097 0.000 0.000
0.000 4.097 0.000
0.000 0.000 6.428
Pm As H
2 2 2
direct
0.250 0.250 0.197
0.750 0.750 0.803
0.250 0.250 0.682
0.750 0.750 0.318
0.250 0.750 0.000
0.750 0.250 0.000
```

Properties
SG: No. 129
Crystal system: tetragonal

=====

ii) is preferred energetically. Next in line: 0.294 eV/atom higher.

=====

i) Density functional theory data (PBE-GGA) for an optimized crystal structure of Pr2AsH.

```
Pr2AsH
1.0
1.998 1.154 6.925
-1.998 1.154 6.925
0.000 -2.307 6.925
Pr As H
2 1 1
direct
0.000 0.000 0.000
0.164 0.164 0.164
0.583 0.583 0.583
0.757 0.757 0.757
```

Properties
SG: No. 160
Crystal system: trigonal

=====

ii) Density functional theory data (PBE-GGA) for an optimized crystal structure of Pr2AsH.

```
Pr2AsH
1.0
3.654 -2.109 0.000
3.654 2.109 0.000
-2.427 0.000 7.260
Pr As H
2 1 1
direct
0.000 0.000 0.000
0.533 0.533 0.596
0.129 0.129 0.384
0.643 0.643 0.930
```

Properties
SG: No. 8
Crystal system: monoclinic

=====

iii) Density functional theory data (PBE-GGA) for an optimized crystal structure of Pr2AsH.

```
Pr2AsH
1.0
2.069 1.195 6.345
-2.069 1.195 6.345
0.000 -2.389 6.345
Pr As H
2 1 1
direct
0.245 0.245 0.245
0.755 0.755 0.755
0.000 0.000 0.000
0.500 0.500 0.500
```

Properties
SG: No. 166
Crystal system: trigonal

=====

iii) is preferred energetically. Next in line: 0.115 eV/atom higher.

=====

i) Density functional theory data (PBE-GGA) for an optimized crystal structure of As2HPt.

```
As2HPt
1.0
-2.722 2.722 4.502
2.722 -2.722 4.502
2.722 2.722 -4.502
As H Pt
4 2 2
direct
0.065 0.625 0.940
0.375 0.315 0.440
0.685 0.125 0.060
0.875 0.935 0.560
0.000 0.000 0.000
0.750 0.250 0.500
0.250 0.750 0.500
0.500 0.500 0.000
```

Properties
SG: No. 122
Crystal system: tetragonal

=====

ii) Density functional theory data (PBE-GGA) for an optimized crystal structure of As2HPt.

```
As2HPt
1.0
0.000 3.058 3.058
3.058 0.000 3.058
3.058 3.058 0.000
As H Pt
2 1 1
direct
0.250 0.250 0.250
0.750 0.750 0.750
0.000 0.000 0.000
0.500 0.500 0.500
```

Properties
SG: No. 225
Crystal system: cubic

=====

ii) is preferred energetically. Next in line: 0.073 eV/atom higher.